# 1
A plane-wave DFT calculation with PBE was carried out for an optimized crystal structure of Ca2SmIn2.

Output
* symmetry: Pnma, No. 62
* ΔH_f (0 K): -399 meV per atom
* electronic total energy: -64.77 eV for the cell shown
* density: 5.09 g/cm³

Lattice parameters (Å, degrees): 6.8251 5.3690 16.3793 90.00 90.00 90.00
Last column: nearest neighbours and their distance in Å.
Sites, in units of the cell vectors:
Ca1 0.0309 0.2500 0.1448  6 In 3.24-3.55, 2 Ca 3.60
Ca2 0.1862 0.2500 0.7313  3 In 3.31-3.38, 6 Ca 3.47-3.68
Ca3 0.3138 0.7500 0.2313  3 In 3.31-3.38, 6 Ca 3.47-3.68
Ca4 0.4691 0.7500 0.6448  6 In 3.24-3.55, 2 Ca 3.60
Ca5 0.5309 0.2500 0.3552  6 In 3.24-3.55, 2 Ca 3.60
Ca6 0.6862 0.2500 0.7687  3 In 3.31-3.38, 6 Ca 3.47-3.68
Ca7 0.8138 0.7500 0.2687  3 In 3.31-3.38, 6 Ca 3.47-3.68
Ca8 0.9691 0.7500 0.8552  6 In 3.24-3.55, 2 Ca 3.60
Sm1 0.1504 0.7500 0.4522  7 In 3.27-3.59
Sm2 0.3496 0.2500 0.9522  7 In 3.27-3.59
Sm3 0.6504 0.7500 0.0478  7 In 3.27-3.59
Sm4 0.8496 0.2500 0.5478  7 In 3.27-3.59
In1 0.0510 0.2500 0.3456  3 Sm 3.27-3.59, 5 Ca 3.28-3.55
In2 0.1372 0.7500 0.0433  4 Ca 3.24-3.31, 4 Sm 3.32-3.50, 2 In 3.57
In3 0.3628 0.2500 0.5433  4 Ca 3.24-3.31, 4 Sm 3.32-3.50, 2 In 3.57
In4 0.4490 0.7500 0.8456  3 Sm 3.27-3.59, 5 Ca 3.28-3.55
In5 0.5510 0.2500 0.1544  3 Sm 3.27-3.59, 5 Ca 3.28-3.55
In6 0.6372 0.7500 0.4567  4 Ca 3.24-3.31, 4 Sm 3.32-3.50, 2 In 3.57
In7 0.8628 0.2500 0.9567  4 Ca 3.24-3.31, 4 Sm 3.32-3.50, 2 In 3.57
In8 0.9490 0.7500 0.6544  3 Sm 3.27-3.59, 5 Ca 3.28-3.55

---

# 2
A plane-wave DFT calculation with PBE was carried out for an optimized crystal structure of Ca4AgSn8.

Output
* symmetry: Pmm2, No. 25
* ΔH_f (0 K): -389 meV per atom
* electronic total energy: -47.94 eV for the cell shown
* density: 5.59 g/cm³

Lattice parameters (Å, degrees): 4.5236 4.6555 17.1919 90.00 90.00 90.00
Last column: nearest neighbours and their distance in Å.
Sites, in units of the cell vectors:
Ca1 0.0000 0.0000 0.0000  10 Sn 3.22-3.44
Ca2 0.0000 0.5000 0.4723  10 Sn 3.32-3.58
Ca3 0.5000 0.0000 0.7879  4 Ag 3.48, 8 Sn 3.55-3.78
Ca4 0.5000 0.5000 0.2889  10 Sn 3.27-3.45
Ag1 0.0000 0.5000 0.7148  5 Sn 2.68-2.91
Sn1 0.0000 0.0000 0.3141  2 Sn 3.04, 4 Ca 3.27
Sn2 0.0000 0.0000 0.6135  2 Ag 2.91, 4 Sn 3.25
Sn3 0.0000 0.5000 0.1477  6 Sn 3.25-3.59, 4 Ca 3.32-3.44
Sn4 0.0000 0.5000 0.8709  1 Ag 2.68, 2 Sn 3.00
Sn5 0.5000 0.0000 0.1409  6 Sn 3.25-3.54, 4 Ca 3.31-3.45
Sn6 0.5000 0.0000 0.4319  2 Sn 3.04, 6 Ca 3.32-3.39
Sn7 0.5000 0.5000 0.6146  2 Ag 2.84
Sn8 0.5000 0.5000 0.9853  2 Sn 3.00, 4 Ca 3.26

---

# 3
A plane-wave DFT calculation with PBE was carried out for an optimized crystal structure of SiBF.

Output
* symmetry: C2/m, No. 12
* electronic total energy: -32.79 eV for the cell shown
* ΔE_f (raw): -77.90 kJ/mol of atoms
* energy above the lowest structure with this stoichiometry: 40.3 meV per atom
* density: 1.98 g/cm³

Lattice parameters (Å, degrees): 4.2034 4.2034 7.4247 96.10 96.10 48.27
Last column: nearest neighbours and their distance in Å.
Sites, in units of the cell vectors:
Si1 0.1417 0.1417 0.0795  2 B 2.03
Si2 0.8583 0.8583 0.9205  2 B 2.03
B1 0.2570 0.2570 0.8072  1 F 1.35
B2 0.7430 0.7430 0.1928  1 F 1.35
F1 0.1589 0.1589 0.6433  1 B 1.35
F2 0.8411 0.8411 0.3567  1 B 1.35

---

Looking at size of the total moment for the records above, in order, we have 0.00 0.00 0.00 μB per formula unit.